Density functional theory data (PBE-GGA) for a geometry-optimized RbSiSe2Br structure.

Structure (extended XYZ):
```
5
Lattice="4.9052 0.0000 0.0000 0.0000 4.9052 0.0000 0.0000 0.0000 5.7913" Properties=species:S:1:pos:R:3 pbc="T T T"
Se 2.4526 0.0000 0.0000
Se 0.0000 2.4526 0.0000
Rb 2.4526 2.4526 2.8957
Si 0.0000 0.0000 0.0000
Br 0.0000 0.0000 2.8957
```

Results
The theoretical density is 4.187 Mg/m³. Its uncorrected formation energy is -0.503 eV per atom. The excess energy over the best structure of this formula in the dataset comes out at 0 meV per atom. Its calculated volume is 139.35 Å³/cell. As for the space-group type: P4/mmm.